# BaVTeO6 (GGA+U, optimized geometry)
# space group	P-31c (163)
# E_tot	-6.616	eV/atom
# N(E_F)	0.000	states/eV/cell
data_BaVTeO6
_cell_length_a 5.281
_cell_length_b 5.281
_cell_length_c 11.587
_cell_angle_alpha 90.00
_cell_angle_beta 90.00
_cell_angle_gamma 120.00
_symmetry_space_group_name_H-M 'P 1'
_symmetry_Int_Tables_number 1
loop_
_symmetry_equiv_pos_as_xyz
'x,y,z'
loop_
_atom_site_label
_atom_site_fract_x
_atom_site_fract_y
_atom_site_fract_z
Ba1 0.000 0.000 0.000
Ba2 0.000 0.000 0.500
V1 0.667 0.333 0.250
V2 0.333 0.667 0.750
Te1 0.333 0.667 0.250
Te2 0.667 0.333 0.750
O1 0.603 0.604 0.154
O2 0.001 0.397 0.154
O3 0.397 0.002 0.654
O4 0.999 0.603 0.846
O5 0.396 0.397 0.346
O6 0.001 0.604 0.346
O7 0.604 0.002 0.846
O8 0.603 0.998 0.346
O9 0.999 0.396 0.654
O10 0.396 0.998 0.154
O11 0.604 0.603 0.654
O12 0.397 0.396 0.846